(1)
Compound: ScGeSe2I
Source: Alexandria via LeMat-Bulk
Functional: PBE
Structure: optimized geometry

Summary:
**Formation energy from raw total energies**: 359.2 kJ/mol of formula units
**E**: -3.1491 eV/atom

abc: 5.5920 5.5920 5.2400
angles: 90.00 90.00 90.00
Space group P4/mmm (No. 123)
Unique sites:
Sc (0.0000, 0.0000, 0.0000) (multiplicity 1)
Ge (0.5000, 0.5000, 0.0000) (multiplicity 1)
Se (0.0000, 0.5000, 0.5000) (multiplicity 2)
I (0.0000, 0.0000, 0.5000) (multiplicity 1)

=====

(2)
Compound: Ag2BiIr
Source: Alexandria via LeMat-Bulk
Functional: PBE
Structure: optimized geometry

Summary:
**ΔE_f**: 0.559 eV per atom
**E**: -4.0524 eV/atom

abc: 7.9589 7.9589 5.3589
angles: 90.00 90.00 90.00
Space group I-42d (No. 122)
Unique sites:
Ag (0.2235, 0.2500, 0.1250) (multiplicity 8)
Bi (0.0000, 0.0000, 0.5000) (multiplicity 4)
Ir (0.0000, 0.0000, 0.0000) (multiplicity 4)

=====

(3)
Compound: Mn2CuP
Source: Alexandria via LeMat-Bulk
Functional: PBE
Structure: optimized geometry

Summary:
**ΔE_f**: 0.031 eV per atom
**E**: -6.9299 eV/atom

abc: 3.5292 3.5292 7.9497
angles: 90.00 90.00 90.00
Space group I-4m2 (No. 119)
Unique sites:
Mn (0.0000, 0.0000, 0.0000) (multiplicity 2)
Mn (0.0000, 0.5000, 0.2500) (multiplicity 2)
Cu (0.0000, 0.0000, 0.5000) (multiplicity 2)
P (0.0000, 0.5000, 0.7500) (multiplicity 2)

=====

(4)
Compound: TbTc2Os
Source: Alexandria via LeMat-Bulk
Functional: PBE
Structure: optimized geometry

Summary:
**ΔE_f**: -0.007 eV per atom
**E**: -9.1552 eV/atom

abc: 6.6256 4.3866 9.8260
angles: 90.00 90.00 90.00
Space group Pnma (No. 62)
Unique sites:
Tb (0.2440, 0.2500, 0.1759) (multiplicity 4)
Tc (0.0492, 0.7500, 0.3494) (multiplicity 4)
Tc (0.1939, 0.2500, 0.4667) (multiplicity 4)
Os (0.0588, 0.2500, 0.9042) (multiplicity 4)